Record 1
# Zr2CrGaNi

An optimized crystal structure of Zr2CrGaNi (PBE, the Alexandria database).

It has space group P4/mmm (No. 123), with a = 4.793 Å, b = 4.793 Å, c = 4.306 Å, α = 90.00°, β = 90.00° and γ = 90.00°. The asymmetric unit holds Zr at (0.000, 0.500, 0.000), Cr at (0.000, 0.000, 0.500), Ga at (0.500, 0.500, 0.500) and Ni at (0.500, 0.500, 0.000).

The magnetization is 0.00 μB/cell. Its formation energy from the elements is 0.57 eV per atom. As for the energy above the most stable polymorph in this dataset: 248 meV/atom.


Record 2
# Zr2CrGaNi

An optimized crystal structure of Zr2CrGaNi (PBE, the Alexandria database).

It has space group P4/mmm (No. 123), with a = 4.797 Å, b = 4.797 Å, c = 4.496 Å, α = 90.00°, β = 90.00° and γ = 90.00°. The asymmetric unit holds Zr at (0.000, 0.500, 0.000), Cr at (0.000, 0.000, 0.500), Ga at (0.500, 0.500, 0.500) and Ni at (0.000, 0.000, 0.000).

The magnetization is 2.70 μB/cell. Its formation energy from the elements is 0.33 eV per atom. As for the energy above the most stable polymorph in this dataset: 0 meV/atom.


Record 3
# NpCrGa

An optimized crystal structure of NpCrGa (PBE, the Alexandria database).

It has space group I4mm (No. 107), with a = 3.006 Å, b = 3.006 Å, c = 11.393 Å, α = 90.00°, β = 90.00° and γ = 90.00°. The asymmetric unit holds Np at (0.000, 0.000, 0.000), Cr at (0.000, 0.000, 0.340) and Ga at (0.000, 0.000, 0.705).

The magnetization is 2.26 μB/cell. Its formation energy from the elements is 0.14 eV per atom.


Record 4
# NpCrGa2

An optimized crystal structure of NpCrGa2 (PBE, the Alexandria database).

It has space group R-3m (No. 166, hexagonal axes), with a = 2.8177 Å, b = 2.8177 Å, c = 28.4265 Å, α = 90.00°, β = 90.00° and γ = 120.00°. The asymmetric unit holds Np at (0.0000, 0.0000, 0.0000), Cr at (0.0000, 0.0000, 0.5000) and Ga at (0.0000, 0.0000, 0.2391).

The magnetization is 11.26 μB/cell. Its formation energy from the elements is 0.11 eV per atom.


Record 5
# Np2CrGa8

An optimized crystal structure of Np2CrGa8 (PBE, the Alexandria database).

It has space group P4/mmm (No. 123), with a = 4.312 Å, b = 4.312 Å, c = 11.126 Å, α = 90.00°, β = 90.00° and γ = 90.00°. The asymmetric unit holds Np at (0.000, 0.000, 0.191), Cr at (0.000, 0.000, 0.500), Ga at (0.000, 0.500, 0.000), Ga at (0.000, 0.500, 0.376) and Ga at (0.500, 0.500, 0.188).

The magnetization is 10.17 μB/cell. Its formation energy from the elements is -0.15 eV per atom.


Record 6
# Np3CrGa12

An optimized crystal structure of Np3CrGa12 (PBE, the Alexandria database).

It has space group P4/mmm (No. 123), with a = 4.220 Å, b = 4.220 Å, c = 16.547 Å, α = 90.00°, β = 90.00° and γ = 90.00°. The asymmetric unit holds Np at (0.000, 0.000, 0.000), Np at (0.000, 0.000, 0.262), Cr at (0.000, 0.000, 0.500), Ga at (0.000, 0.500, 0.131), Ga at (0.000, 0.500, 0.391), Ga at (0.500, 0.500, 0.000), Ga at (0.500, 0.500, 0.256) and Ga at (0.500, 0.500, 0.500).

The magnetization is 0.84 μB/cell. Its formation energy from the elements is -0.14 eV per atom.


Computed values of E (unit: eV/f.u.) for the preceding records, in sequence: -32.65; -33.90; -25.18; -28.18; -61.36; -87.02.